The following is a GGA-PBEsol calculation of a relaxed structure of LaYAs2, from Alexandria via LeMat-Bulk.

Total energy   -7.15 eV per atom
Total magnetization   0.0 μB/cell
V   312.6 Å³ per cell
Excess energy over the best structure of this formula in the dataset   0 meV per atom

Cell and atoms, written as POSCAR:
```
LaYAs2
1.0
4.195 0.000 0.000
-2.097 3.633 0.000
0.000 0.000 20.510
La Y As
3 3 6
Direct
0.000 0.000 0.000 La
0.333 0.667 0.667 La
0.667 0.333 0.333 La
0.000 0.000 0.500 Y
0.333 0.667 0.167 Y
0.667 0.333 0.833 Y
0.000 0.000 0.246 As
0.000 0.000 0.754 As
0.333 0.667 0.421 As
0.333 0.667 0.912 As
0.667 0.333 0.088 As
0.667 0.333 0.579 As
```